1.
Material: Na4ZnN2
Method: DFT, PBE
State: relaxed

## Properties
Volume: 351.4 Å³/cell
Formation energy (no corrections): 43 meV per atom
D(E_F): 1.4 states/eV/f.u.
E: -3.271 eV per atom

Lattice parameters (Å, degrees): 4.4281 4.4281 20.6948 90.00 90.00 120.00
With the nearest neighbours (Å) after each atom.
Space group R-3m (No. 166, hexagonal axes)
Unique sites:
Na: 0.0000 0.0000 0.0968  3 N 2.59, 3 Na 2.82
Na: 0.0000 0.0000 0.2943  4 N 2.41-2.68
Zn: 0.0000 0.0000 0.5000  2 N 1.85
N: 0.0000 0.0000 0.4106  1 Zn 1.85

2.
Material: Pm2ZnCu2O6
Method: DFT, PBE
State: relaxed

## Properties
Volume: 449.8 Å³/cell
Formation energy (no corrections): -1613 meV per atom
D(E_F): 4.9 states/eV/f.u.
E: -6.042 eV per atom

Lattice parameters (Å, degrees): 5.7509 5.7509 15.7054 90.00 90.00 120.00
With the nearest neighbours (Å) after each atom.
Space group R-3m (No. 166, hexagonal axes)
Unique sites:
Pm: 0.0000 0.0000 0.2066  3 O 2.32
Zn: 0.0000 0.0000 0.0000  6 O 2.08
Cu: 0.0000 0.0000 0.4174  3 O 1.84
O: 0.0352 0.5176 0.7598  1 Cu 1.84

3.
Material: MnZn2Cd
Method: DFT, PBE
State: relaxed

## Properties
Calculated formation energy: 44 kJ/mol of formula units
Volume: 130.0 Å³/cell
D(E_F): 1.9 states/eV/f.u.
E: -3.044 eV per atom

Lattice parameters (Å, degrees): 4.2160 2.8482 10.8293 90.00 90.00 90.00
With the nearest neighbours (Å) after each atom.
Space group Amm2 (No. 38)
Unique sites:
Mn: 0.0000 0.0000 0.0000  7 Zn 2.74-2.97, 2 Mn 2.85, 4 Cd 3.05
Zn: 0.0000 0.0000 0.7259  4 Zn 2.55-2.85, 2 Mn 2.83, 4 Cd 2.85
Zn: 0.5000 0.0000 0.5935  4 Zn 2.55-2.85, 1 Cd 2.69, 4 Mn 2.74
Cd: 0.5000 0.0000 0.3448  5 Zn 2.69-2.85, 2 Cd 2.85